1.
Cd2FePb PBE-GGA relaxed; magnetic moment = 2.55 Bohr magnetons per cell; total energy = -3.170 eV/atom; DOS at the Fermi energy = 0.381 states/eV per atom; symmetry = R-3m, No. 166
1.0
1.579 0.912 10.200
-1.579 0.912 10.200
0.000 -1.823 10.200
Cd Fe Pb
2 1 1
direct
0.236 0.236 0.236
0.764 0.764 0.764
0.500 0.500 0.500
0.000 0.000 0.000


2.
Cd2FePb2 PBE-GGA relaxed; magnetic moment = 2.87 Bohr magnetons per cell; E above lowest polymorph = 0.059 eV per atom; total energy = -3.030 eV/atom; DOS at the Fermi energy = 0.964 states/eV per atom; symmetry = I4/mmm, No. 139
1.0
-1.912 1.912 9.131
1.912 -1.912 9.131
1.912 1.912 -9.131
Cd Fe Pb
2 1 2
direct
0.250 0.750 0.500
0.750 0.250 0.500
0.000 0.000 0.000
0.414 0.414 0.000
0.586 0.586 0.000


3.
Cd2FePb PBE-GGA relaxed; magnetic moment = 2.86 Bohr magnetons per cell; total energy = -3.085 eV/atom; DOS at the Fermi energy = 0.834 states/eV per atom; symmetry = P4/mmm, No. 123
1.0
4.264 0.000 0.000
0.000 4.264 0.000
0.000 0.000 4.704
Cd Fe Pb
2 1 1
direct
0.000 0.500 0.000
0.500 0.000 0.000
0.000 0.000 0.500
0.500 0.500 0.500


4.
Cd2FePb PBE-GGA relaxed; magnetic moment = 2.58 Bohr magnetons per cell; total energy = -3.160 eV/atom; DOS at the Fermi energy = 0.478 states/eV per atom; symmetry = Cm, No. 8
1.0
5.242 -1.567 0.000
5.242 1.567 0.000
-2.894 0.000 5.351
Cd Fe Pb
2 1 1
direct
0.000 0.000 0.000
0.219 0.219 0.813
0.687 0.687 0.410
0.414 0.414 0.420


5.
Cd2FePb PBE-GGA relaxed; magnetic moment = 2.51 Bohr magnetons per cell; total energy = -3.187 eV/atom; DOS at the Fermi energy = 0.903 states/eV per atom; symmetry = Immm, No. 71
1.0
-1.545 2.356 5.927
1.545 -2.356 5.927
1.545 2.356 -5.927
Cd Fe Pb
2 1 1
direct
0.202 0.202 0.000
0.798 0.798 0.000
0.000 0.500 0.500
0.500 0.000 0.500


6.
CdFe2Pb PBE-GGA relaxed; magnetic moment = 5.21 Bohr magnetons per cell; E above lowest polymorph = 0.341 eV per atom; total energy = -4.737 eV/atom; DOS at the Fermi energy = 0.858 states/eV per atom; symmetry = F-43m, No. 216
1.0
0.000 3.300 3.300
3.300 0.000 3.300
3.300 3.300 0.000
Cd Fe Pb
1 2 1
direct
0.000 0.000 0.000
0.500 0.500 0.500
0.750 0.750 0.750
0.250 0.250 0.250


7.
Cd2Fe2Pb PBE-GGA relaxed; magnetic moment = 8.89 Bohr magnetons per cell; total energy = -4.101 eV/atom; DOS at the Fermi energy = 0.681 states/eV per atom; symmetry = P4/mbm, No. 127
1.0
6.792 0.000 0.000
0.000 6.792 0.000
0.000 0.000 4.135
Cd Fe Pb
4 4 2
direct
0.165 0.335 0.000
0.335 0.835 0.000
0.665 0.165 0.000
0.835 0.665 0.000
0.120 0.620 0.500
0.380 0.120 0.500
0.620 0.880 0.500
0.880 0.380 0.500
0.000 0.000 0.500
0.500 0.500 0.500


8.
CdFe2Pb PBE-GGA relaxed; magnetic moment = 5.42 Bohr magnetons per cell; E above lowest polymorph = 0.243 eV per atom; total energy = -4.836 eV/atom; DOS at the Fermi energy = 0.886 states/eV per atom; symmetry = P4/mmm, No. 123
1.0
4.184 0.000 0.000
0.000 4.184 0.000
0.000 0.000 4.065
Cd Fe Pb
1 2 1
direct
0.000 0.000 0.000
0.000 0.500 0.500
0.500 0.000 0.500
0.500 0.500 0.000


9.
Cd2FePb PBE-GGA relaxed; magnetic moment = 2.66 Bohr magnetons per cell; total energy = -3.120 eV/atom; DOS at the Fermi energy = 0.741 states/eV per atom; symmetry = Pm, No. 6
1.0
3.285 0.000 0.000
0.000 4.540 0.000
-1.207 0.000 5.817
Cd Fe Pb
2 1 1
direct
0.000 0.000 0.000
0.433 0.500 0.835
0.145 0.500 0.287
0.675 0.000 0.461


10.
CdFe2Pb PBE-GGA relaxed; magnetic moment = 5.30 Bohr magnetons per cell; E above lowest polymorph = 0.202 eV per atom; total energy = -4.877 eV/atom; DOS at the Fermi energy = 0.724 states/eV per atom; symmetry = C2/m, No. 12
1.0
4.791 -1.529 0.000
4.791 1.529 0.000
-2.217 0.000 5.518
Cd Fe Pb
1 2 1
direct
0.000 0.000 0.000
0.238 0.238 0.839
0.762 0.762 0.161
0.500 0.500 0.500


11.
CdFe2Pb PBE-GGA relaxed; magnetic moment = 5.20 Bohr magnetons per cell; E above lowest polymorph = 0.126 eV per atom; total energy = -4.953 eV/atom; DOS at the Fermi energy = 0.710 states/eV per atom; symmetry = Cm, No. 8
1.0
5.345 -1.638 0.000
5.345 1.638 0.000
-1.885 0.000 4.158
Cd Fe Pb
1 2 1
direct
0.000 0.000 0.000
0.227 0.227 0.733
0.548 0.548 0.548
0.782 0.782 0.287


12.
CdFe2Pb PBE-GGA relaxed; magnetic moment = 5.40 Bohr magnetons per cell; E above lowest polymorph = 0.243 eV per atom; total energy = -4.836 eV/atom; DOS at the Fermi energy = 1.028 states/eV per atom; symmetry = Pmmm, No. 47
1.0
3.040 0.000 0.000
0.000 4.001 0.000
0.000 0.000 6.024
Cd Fe Pb
1 2 1
direct
0.000 0.000 0.000
0.500 0.500 0.209
0.500 0.500 0.791
0.000 0.000 0.500


13.
CdFe2Pb PBE-GGA relaxed; magnetic moment = 4.81 Bohr magnetons per cell; E above lowest polymorph = 0.263 eV per atom; total energy = -4.815 eV/atom; DOS at the Fermi energy = 1.272 states/eV per atom; symmetry = Fm-3m, No. 225
1.0
0.000 3.261 3.261
3.261 0.000 3.261
3.261 3.261 0.000
Cd Fe Pb
1 2 1
direct
0.000 0.000 0.000
0.250 0.250 0.250
0.750 0.750 0.750
0.500 0.500 0.500


14.
CdFe2Pb PBE-GGA relaxed; magnetic moment = 5.07 Bohr magnetons per cell; E above lowest polymorph = 0.243 eV per atom; total energy = -4.836 eV/atom; DOS at the Fermi energy = 0.904 states/eV per atom; symmetry = I-4m2, No. 119
1.0
-2.025 2.025 4.306
2.025 -2.025 4.306
2.025 2.025 -4.306
Cd Fe Pb
1 2 1
direct
0.000 0.000 0.000
0.250 0.750 0.500
0.500 0.500 0.000
0.750 0.250 0.500


15.
CdFe4Pb PBE-GGA relaxed; magnetic moment = 9.48 Bohr magnetons per cell; total energy = -6.080 eV/atom; DOS at the Fermi energy = 0.730 states/eV per atom; symmetry = F-43m, No. 216
1.0
0.000 3.587 3.587
3.587 0.000 3.587
3.587 3.587 0.000
Cd Fe Pb
1 4 1
direct
0.000 0.000 0.000
0.374 0.374 0.374
0.374 0.374 0.878
0.374 0.878 0.374
0.878 0.374 0.374
0.750 0.750 0.750